The following is a DFT calculation (GGA-PBE) of a relaxed structure of TaSI2.

a = 7.8221 Å, b = 7.8221 Å, c = 7.8221 Å
α = 95.16°, β = 95.16°, γ = 145.08°
With the nearest neighbours (Å) after each atom.
Fractional coordinates of all 8 atoms:
Ta: 0.0000 0.0000 0.0000  2 S 2.35
Ta: 0.7500 0.2500 0.5000  2 S 2.35
S: 0.2500 0.7500 0.5000  2 Ta 2.35
S: 0.5000 0.5000 0.0000  2 Ta 2.35
I: 0.3750 0.2238 0.3488  2 Ta 2.90
I: 0.7762 0.1250 0.1512  2 Ta 2.90
I: 0.8750 0.0262 0.6512  2 Ta 2.90
I: 0.9738 0.6250 0.8488  2 Ta 2.90

## Properties
Its uncorrected formation energy is -0.236 eV/atom. The value obtained for the distance to the lowest polymorph of the same formula is 0.246 eV/atom.

The following is a DFT calculation (GGA-PBE) of a relaxed structure of TbHo6Tm12.

a = 8.4061 Å, b = 8.4061 Å, c = 8.4061 Å
α = 88.16°, β = 88.16°, γ = 88.16°
With the nearest neighbours (Å) after each atom.
Fractional coordinates of all 19 atoms:
Tb: 0.0000 0.0000 0.0000  6 Ho 3.43, 6 Tm 3.53
Ho: 0.0896 0.2544 0.6849  6 Tm 3.21-3.56, 1 Tb 3.43, 2 Ho 3.44
Ho: 0.2544 0.6849 0.0896  6 Tm 3.21-3.56, 1 Tb 3.43, 2 Ho 3.44
Ho: 0.3151 0.9104 0.7456  6 Tm 3.21-3.56, 1 Tb 3.43, 2 Ho 3.44
Ho: 0.6849 0.0896 0.2544  6 Tm 3.21-3.56, 1 Tb 3.43, 2 Ho 3.44
Ho: 0.7456 0.3151 0.9104  6 Tm 3.21-3.56, 1 Tb 3.43, 2 Ho 3.44
Ho: 0.9104 0.7456 0.3151  6 Tm 3.21-3.56, 1 Tb 3.43, 2 Ho 3.44
Tm: 0.0078 0.3535 0.2144  4 Tm 3.36-3.52, 4 Ho 3.46-3.63, 1 Tb 3.53
Tm: 0.2144 0.0078 0.3535  4 Tm 3.36-3.52, 4 Ho 3.46-3.63, 1 Tb 3.53
Tm: 0.2281 0.5633 0.4546  3 Ho 3.21-3.40, 6 Tm 3.24-3.46
Tm: 0.3535 0.2144 0.0078  4 Tm 3.36-3.52, 4 Ho 3.46-3.63, 1 Tb 3.53
Tm: 0.4367 0.5454 0.7719  3 Ho 3.21-3.40, 6 Tm 3.24-3.46
Tm: 0.4546 0.2281 0.5633  3 Ho 3.21-3.40, 6 Tm 3.24-3.46
Tm: 0.5454 0.7719 0.4367  3 Ho 3.21-3.40, 6 Tm 3.24-3.46
Tm: 0.5633 0.4546 0.2281  3 Ho 3.21-3.40, 6 Tm 3.24-3.46
Tm: 0.6465 0.7856 0.9922  4 Tm 3.36-3.52, 4 Ho 3.46-3.63, 1 Tb 3.53
Tm: 0.7719 0.4367 0.5454  3 Ho 3.21-3.40, 6 Tm 3.24-3.46
Tm: 0.7856 0.9922 0.6465  4 Tm 3.36-3.52, 4 Ho 3.46-3.63, 1 Tb 3.53
Tm: 0.9922 0.6465 0.7856  4 Tm 3.36-3.52, 4 Ho 3.46-3.63, 1 Tb 3.53

## Properties
The value obtained for the distance to the lowest polymorph of the same formula is 0.000 eV/atom. Its formation energy is 0.165 eV/atom.

The following is a DFT calculation (GGA-PBE) of a relaxed structure of YSb2Pd4.

a = 7.9272 Å, b = 7.9272 Å, c = 4.3550 Å
α = 90.00°, β = 90.00°, γ = 90.00°
With the nearest neighbours (Å) after each atom.
Fractional coordinates of all 14 atoms:
Y: 0.0000 0.0000 0.0000  6 Sb 3.17-3.27, 4 Pd 3.41
Y: 0.5000 0.5000 0.5000  6 Sb 3.17-3.27, 4 Pd 3.41
Sb: 0.2171 0.2171 0.5000  6 Pd 2.69-2.71
Sb: 0.2829 0.7171 0.0000  6 Pd 2.69-2.71
Sb: 0.7171 0.2829 0.0000  6 Pd 2.69-2.71
Sb: 0.7829 0.7829 0.5000  6 Pd 2.69-2.71
Pd: 0.0968 0.6485 0.5000  3 Sb 2.69-2.71, 6 Pd 2.81-2.95
Pd: 0.1485 0.4032 0.0000  3 Sb 2.69-2.71, 6 Pd 2.81-2.95
Pd: 0.3515 0.9032 0.5000  3 Sb 2.69-2.71, 6 Pd 2.81-2.95
Pd: 0.4032 0.1485 0.0000  3 Sb 2.69-2.71, 6 Pd 2.81-2.95
Pd: 0.5968 0.8515 0.0000  3 Sb 2.69-2.71, 6 Pd 2.81-2.95
Pd: 0.6485 0.0968 0.5000  3 Sb 2.69-2.71, 6 Pd 2.81-2.95
Pd: 0.8515 0.5968 0.0000  3 Sb 2.69-2.71, 6 Pd 2.81-2.95
Pd: 0.9032 0.3515 0.5000  3 Sb 2.69-2.71, 6 Pd 2.81-2.95

## Properties
Its uncorrected formation energy is -0.690 eV/atom. The value obtained for the distance to the lowest polymorph of the same formula is 0.000 eV/atom.

The following is a DFT calculation (GGA-PBE) of a relaxed structure of RbBa2Cr2N6.

a = 5.3722 Å, b = 7.1317 Å, c = 7.3814 Å
α = 106.62°, β = 105.30°, γ = 108.92°
With the nearest neighbours (Å) after each atom.
Fractional coordinates of all 11 atoms:
Rb: 0.0000 0.0000 0.0000  6 N 3.12-3.44
Ba: 0.4777 0.6916 0.2949  6 N 2.76-2.90
Ba: 0.5223 0.3084 0.7051  6 N 2.76-2.90
Cr: 0.2102 0.6531 0.6625  4 N 1.68-1.82
Cr: 0.7898 0.3469 0.3375  4 N 1.68-1.82
N: 0.1734 0.4282 0.4474  2 Cr 1.82
N: 0.3328 0.6267 0.8843  1 Cr 1.68
N: 0.4158 0.8914 0.6689  1 Cr 1.68
N: 0.5842 0.1086 0.3311  1 Cr 1.68
N: 0.6672 0.3733 0.1157  1 Cr 1.68
N: 0.8266 0.5718 0.5526  2 Cr 1.82

## Properties
Its uncorrected formation energy is -0.435 eV/atom.

The following is a DFT calculation (GGA-PBE) of a relaxed structure of BaTlW.

a = 3.2221 Å, b = 3.2221 Å, c = 8.5818 Å
α = 90.00°, β = 90.00°, γ = 120.00°
With the nearest neighbours (Å) after each atom.
Fractional coordinates of all 3 atoms:
Ba: 0.0000 0.0000 0.0000  6 Ba 3.22, 3 W 3.46
Tl: 0.3333 0.6667 0.3775  3 W 3.06, 6 Tl 3.22
W: 0.6667 0.3333 0.6606  3 Tl 3.06, 6 W 3.22

## Properties
The value obtained for the distance to the lowest polymorph of the same formula is 0.117 eV/atom. Its formation energy is 1.144 eV/atom.

The following is a DFT calculation (GGA-PBE) of a relaxed structure of MnPCSeN.

a = 2.7810 Å, b = 3.3338 Å, c = 8.6626 Å
α = 92.58°, β = 99.00°, γ = 114.63°
With the nearest neighbours (Å) after each atom.
Fractional coordinates of all 5 atoms:
Mn: 0.0000 0.0000 0.0000  2 C 1.91
P: 0.9936 0.2468 0.7325  2 N 1.63, 1 C 1.73
C: 0.2711 0.6420 0.8970  1 P 1.73, 2 Mn 1.91
Se: 0.8344 0.4642 0.2100  3 Mn 2.55-2.57, 2 Se 2.78
N: 0.4141 0.1840 0.6338  2 P 1.63

## Properties
Its uncorrected formation energy is 0.217 eV/atom. The value obtained for the distance to the lowest polymorph of the same formula is 0.000 eV/atom.

Density of states at the Fermi level readings, ordered: 2.06; 30.49; 3.84; 3.02; 2.49; 1.45 states/eV/cell
DFT total energy readings, ordered: -5.01; -4.35; -5.76; -7.16; -4.60; -6.91 eV per atom